Record 1
This record from OQMD describes crystalline ZnBi12O20 at its relaxed geometry. The functional is PBE.

## Properties
- Total DFT energy (no corrections): -5.651 eV/atom

a = 8.7228 Å, b = 8.7228 Å, c = 8.7228 Å
α = 109.47°, β = 109.47°, γ = 109.47°
Fractional positions:
Bi 0.8227 0.3104 0.1440
Bi 0.6787 0.8560 0.1664
Bi 0.3213 0.4877 0.1773
Bi 0.1440 0.8227 0.3104
Bi 0.4877 0.1773 0.3213
Bi 0.1773 0.3213 0.4877
Bi 0.8336 0.6896 0.5123
Bi 0.8560 0.1664 0.6787
Bi 0.5123 0.8336 0.6896
Bi 0.3104 0.1440 0.8227
Bi 0.6896 0.5123 0.8336
Bi 0.1664 0.6787 0.8560
O 0.2306 0.0000 0.0000
O 0.6251 0.0000 0.0000
O 0.0000 0.2306 0.0000
O 0.0000 0.6251 0.0000
O 0.3802 0.7658 0.1209
O 0.0000 0.0000 0.2306
O 0.6144 0.3552 0.2342
O 0.8791 0.6448 0.2593
O 0.2342 0.6144 0.3552
O 0.3749 0.3749 0.3749
O 0.7658 0.1209 0.3802
O 0.6198 0.7407 0.3856
O 0.3552 0.2342 0.6144
O 0.7407 0.3856 0.6198
O 0.0000 0.0000 0.6251
O 0.2593 0.8791 0.6448
O 0.3856 0.6198 0.7407
O 0.1209 0.3802 0.7658
O 0.7694 0.7694 0.7694
O 0.6448 0.2593 0.8791
Zn 0.0000 0.0000 0.0000



Record 2
This record from OQMD describes crystalline Na4PAu2N at its relaxed geometry. The functional is PBE.

## Properties
- Total DFT energy (no corrections): -3.386 eV/atom

a = 6.5014 Å, b = 5.1788 Å, c = 5.1788 Å
α = 110.25°, β = 90.00°, γ = 90.00°
Fractional positions:
Au 0.2277 0.9744 0.9744
Au 0.7723 0.9744 0.9744
N 0.0000 0.7256 0.7256
Na 0.0000 0.5759 0.2220
Na 0.5000 0.8238 0.4605
Na 0.0000 0.2220 0.5759
Na 0.5000 0.4605 0.8238
P 0.5000 0.2433 0.2433



Record 3
This record from OQMD describes crystalline AcWN3 at its relaxed geometry. The functional is PBE.

## Properties
- Total DFT energy (no corrections): -9.353 eV/atom

a = 4.0469 Å, b = 4.0469 Å, c = 4.0469 Å
α = 90.00°, β = 90.00°, γ = 90.00°
Fractional positions:
Ac 0.5000 0.5000 0.5000
N 0.5000 0.0000 0.0000
N 0.0000 0.5000 0.0000
N 0.0000 0.0000 0.5000
W 0.0000 0.0000 0.0000



Record 4
This record from OQMD describes crystalline ReTcAsO at its relaxed geometry. The functional is PBE.

## Properties
- Relative energy among the computed polymorphs: 0.019 eV per atom

a = 3.9912 Å, b = 5.6506 Å, c = 5.1719 Å
α = 90.00°, β = 90.00°, γ = 90.00°
Fractional positions:
As 0.0000 0.3249 0.3923
As 0.0000 0.6751 0.8923
O 0.5000 0.7394 0.4102
O 0.5000 0.2606 0.9102
Re 0.0000 0.7844 0.3939
Re 0.0000 0.2156 0.8939
Tc 0.5000 0.9211 0.0576
Tc 0.5000 0.0789 0.5576



Record 5
This record from OQMD describes crystalline Er3Pd2 at its relaxed geometry. The functional is PBE.

## Properties
- DFT formation energy: -0.7632 eV/atom

a = 7.1181 Å, b = 7.1181 Å, c = 9.6759 Å
α = 104.47°, β = 104.47°, γ = 30.02°
Site moments in Bohr magnetons follow the coordinates.
Fractional positions:
Er 0.8677 0.8677 0.0053  -0.01
Er 0.4081 0.4081 0.3397  0.08
Er 0.1477 0.1477 0.3757  0.12
Er 0.8523 0.8523 0.6243  0.12
Er 0.5919 0.5919 0.6603  0.08
Er 0.1323 0.1323 0.9947  -0.01
Pd 0.5312 0.5312 0.1533  0.01
Pd 0.7511 0.7511 0.2290  0.00
Pd 0.2489 0.2489 0.7710  0.00
Pd 0.4688 0.4688 0.8467  0.01



Record 6
This record from OQMD describes crystalline KTbCu3Se4 at its relaxed geometry. The functional is PBE.

## Properties
- Relative energy among the computed polymorphs: 0.198 eV per atom

a = 6.3467 Å, b = 6.3467 Å, c = 6.3467 Å
α = 90.00°, β = 90.00°, γ = 90.00°
Site moments in Bohr magnetons follow the coordinates.
Fractional positions:
Cu 0.5000 0.5000 0.0000  0.12
Cu 0.5000 0.0000 0.5000  0.17
Cu 0.0000 0.5000 0.5000  0.16
K 0.0000 0.0000 0.0000  0.00
Se 0.2635 0.2635 0.2635  0.09
Se 0.7365 0.7365 0.2635  0.07
Se 0.7365 0.2635 0.7365  0.06
Se 0.2635 0.7365 0.7365  0.06
Tb 0.5000 0.5000 0.5000  0.00